Record 1
Below is a relaxed structure of FeCuH, with properties calculated at the PBE level.

Structure (extended XYZ):
```
3
Lattice="2.5624 0.0000 0.0000 0.0000 2.5624 0.0000 0.0000 0.0000 3.9171" Properties=species:S:1:pos:R:3 pbc="T T T"
Fe 0.0000 0.0000 0.0000
Cu 1.2812 1.2812 1.9585
H 1.2812 1.2812 0.0000
```

Results
E above lowest polymorph, eV per atom: 0.000
D(E_F), states/eV/f.u.: 1.1
Calculated density, g/cm³: 7.77

Record 2
Below is a relaxed structure of Eu2PH, with properties calculated at the PBE level.

Structure (extended XYZ):
```
4
Lattice="2.0784 1.2000 6.1529 -2.0784 1.2000 6.1529 0.0000 -2.3999 6.1529" Properties=species:S:1:pos:R:3 pbc="T T T"
Eu 0.0000 0.0000 4.5545
Eu 0.0000 0.0000 13.9043
P 0.0000 0.0000 0.0000
H 0.0000 0.0000 9.2294
```

Results
E above lowest polymorph, eV per atom: 0.000
D(E_F), states/eV/f.u.: 15.0
Calculated density, g/cm³: 6.06

Record 3
Below is a relaxed structure of LaO, with properties calculated at the PBE level.

Structure (extended XYZ):
```
2
Lattice="3.5178 0.0000 0.0000 -1.7589 3.0465 0.0000 0.0000 0.0000 3.2988" Properties=species:S:1:pos:R:3 pbc="T T T"
La 0.0000 0.0000 0.0000
O 1.7589 1.0155 1.6494
```

Results
Energy relative to the elements, uncorrected, meV/atom: -2536
D(E_F), states/eV/f.u.: 1.1
Calculated density, g/cm³: 7.28

Record 4
Below is a relaxed structure of LiZn2P, with properties calculated at the PBE level.

Structure (extended XYZ):
```
4
Lattice="1.7810 -2.0830 0.0000 1.7810 2.0830 0.0000 0.0000 0.0000 8.2382" Properties=species:S:1:pos:R:3 pbc="T T T"
Li 0.0000 0.0000 0.0000
Zn 1.7810 0.0000 2.0277
Zn 1.7810 0.0000 6.2105
P 0.0000 0.0000 4.1191
```

Results
Energy of formation from the pure elements, eV per atom: 0.06
D(E_F), states/eV/f.u.: 0.8
Calculated density, g/cm³: 4.58